LiTb2F8: relaxed, PBE.

Summary:
The value obtained for the relative energy among the computed polymorphs is 32.5 meV per atom.

Lattice parameters (Å, degrees): 3.992 6.179 6.830 103.40 90.00 108.84
Each line ends with the local moment (μB).
Positions (direct):
1 F 0.189 0.377 0.534  0.01
2 F 0.273 0.546 0.907  0.00
3 F 0.549 0.098 0.745  0.08
4 F 0.451 0.902 0.255  0.08
5 F 0.071 0.142 0.118  0.41
6 F 0.929 0.858 0.882  0.41
7 F 0.727 0.454 0.093  0.00
8 F 0.811 0.623 0.466  0.01
9 Li 0.500 0.000 0.000  0.00
10 Tb 0.274 0.548 0.263  0.02
11 Tb 0.726 0.452 0.737  0.02



LiTbTl2F6: relaxed, PBE.

Lattice parameters (Å, degrees): 6.143 6.142 6.153 119.96 119.97 89.99
Positions (direct):
1 F 0.246 0.754 0.000
2 F 0.754 0.754 0.000
3 F 0.246 0.247 0.000
4 F 0.753 0.753 0.506
5 F 0.754 0.247 0.000
6 F 0.247 0.247 0.493
7 Tl 0.750 0.250 0.500
8 Tl 0.250 0.750 0.500
9 Tb 0.500 0.500 0.000
10 Li 0.000 0.000 0.000



Number 1: formation energy without anion corrections -3.413 eV per atom. Number 2: formation energy without anion corrections -2.925 eV per atom.